No. 1
MnCu14Ni, relaxed, DFT GGA-PBE; E_tot = -4.49 eV per atom; density of states at the Fermi level = 6.6 states/eV per cell; M_tot = 4.46 μB per formula unit; symmetry = No. 38; ΔH_f (0 K) = 24 meV/atom
1.0
5.1432 -0.3339 0.0000
-2.3229 4.6009 0.0000
0.0000 0.0000 8.3895
Mn Cu Ni
1 14 1
direct
0.5411 0.4589 0.5000
0.2095 0.7905 0.0000
0.7100 0.2900 0.0000
0.0419 0.4613 0.5000
0.2085 0.2903 0.0000
0.5387 0.9581 0.5000
0.7097 0.7915 0.0000
0.3735 0.1239 0.7519
0.3735 0.1239 0.2481
0.8761 0.6265 0.7519
0.8761 0.6265 0.2481
0.3743 0.6257 0.7528
0.3743 0.6257 0.2472
0.8757 0.1243 0.7479
0.8757 0.1243 0.2521
0.0416 0.9584 0.5000

No. 2
Y2MnAs, relaxed, DFT GGA-PBE; E_tot = -6.59 eV per atom; density of states at the Fermi level = 5.8 states/eV per cell; M_tot = 1.42 μB per formula unit; symmetry = No. 216; ΔH_f (0 K) = 100 meV/atom
1.0
4.9213 0.0000 0.0000
2.4606 4.2620 0.0000
2.4606 1.4207 4.0182
As Mn Y
1 1 2
direct
0.5000 0.5000 0.5000
0.7500 0.7500 0.7500
0.0000 0.0000 0.0000
0.2500 0.2500 0.2500

No. 3
Ca2TlBr, relaxed, DFT GGA-PBE; offset from the most stable computed form = 31.3 kJ per mole of atoms; E_tot = -2.61 eV per atom; density of states at the Fermi level = 4.8 states/eV per cell; M_tot = 1.68 μB per formula unit; symmetry = No. 225
1.0
0.0000 3.9340 3.9340
3.9340 0.0000 3.9340
3.9340 3.9340 0.0000
Tl Ca Br
1 2 1
direct
0.5000 0.5000 0.5000
0.2500 0.2500 0.2500
0.7500 0.7500 0.7500
0.0000 0.0000 0.0000

No. 4
ZnReAs2, relaxed, DFT GGA-PBE; E_tot = -5.15 eV per atom; density of states at the Fermi level = 3.3 states/eV per cell; M_tot = 0.00 μB per formula unit; symmetry = No. 47; ΔH_f (0 K) = 608 meV/atom
1.0
-0.6701 3.1765 0.0976
-3.3478 -0.6078 -3.2028
-2.8340 -0.6929 3.0938
As Re Zn
2 1 1
direct
0.0000 0.0000 0.0000
0.5000 0.5000 0.0000
0.5000 0.0000 0.5000
0.0000 0.5000 0.5000

No. 5
Pb5S, relaxed, DFT GGA-PBE; E_tot = -3.81 eV per atom; density of states at the Fermi level = 3.3 states/eV per cell; M_tot = 0.00 μB per formula unit; symmetry = No. 65
1.0
3.6516 0.0000 0.0000
0.0000 5.6211 0.0000
0.0000 -2.8105 8.5558
Pb S
5 1
direct
0.5000 0.8630 0.7261
0.0000 0.6835 0.3670
0.5000 0.5000 0.0000
0.0000 0.3165 0.6330
0.5000 0.1370 0.2739
0.0000 0.0000 0.0000

No. 6
SrCdW2, relaxed, DFT GGA-PBE; E_tot = -6.09 eV per atom; density of states at the Fermi level = 3.3 states/eV per cell; M_tot = 0.00 μB per formula unit; symmetry = No. 10; ΔH_f (0 K) = 1033 meV/atom
1.0
-5.2922 0.9221 0.6452
-0.3325 -2.6535 1.0651
0.8911 1.5770 5.0554
Cd Sr W
1 1 2
direct
0.5000 0.2500 0.2500
0.5000 0.7500 0.7500
0.0000 0.1158 0.9949
0.0000 0.3842 0.5051

No. 7
PaSiS6, relaxed, DFT GGA-PBE; E_tot = -5.63 eV per atom; density of states at the Fermi level = 4.7 states/eV per cell; M_tot = 0.97 μB per formula unit; symmetry = No. 2
1.0
-2.8534 1.7261 -3.2677
-4.3060 -3.9202 0.1054
-3.8180 2.2300 4.2560
Pa Si S
1 1 6
direct
0.5000 0.5000 0.5000
0.0000 0.0000 0.0000
0.0302 0.3507 0.7482
0.6826 0.9916 0.7214
0.6091 0.2322 0.1612
0.3174 0.0084 0.2786
0.9698 0.6493 0.2518
0.3909 0.7678 0.8388

No. 8
EuHoInCu, relaxed, DFT GGA-PBE; E_tot = -5.66 eV per atom; density of states at the Fermi level = 8.9 states/eV per cell; M_tot = 6.81 μB per formula unit; symmetry = No. 216; ΔH_f (0 K) = -236 meV/atom
1.0
-3.1436 -1.3531 -3.9865
1.2343 -4.1009 -3.0438
-2.8310 -4.4180 0.2696
Eu Ho Cu In
1 1 1 1
direct
0.5000 0.5000 0.5000
0.0000 0.0000 0.0000
0.2500 0.2500 0.2500
0.7500 0.7500 0.7500

No. 9
La2ScZnGe, relaxed, DFT GGA-PBE; E_tot = -4.45 eV per atom; density of states at the Fermi level = 5.4 states/eV per cell; M_tot = 0.00 μB per formula unit; symmetry = No. 123; ΔH_f (0 K) = -35 meV/atom
1.0
-4.2371 -3.4356 1.9637
2.5953 -4.0594 -1.5024
2.6022 -0.2516 5.1747
Sc Ge Zn La
1 1 1 2
direct
0.0000 0.5000 0.0000
0.0000 0.0000 0.0000
0.5000 0.5000 0.5000
0.0000 0.0000 0.5000
0.5000 0.0000 0.0000

No. 10
CaRe2Pt, relaxed, DFT GGA-PBE; offset from the most stable computed form = 29.2 kJ per mole of atoms; E_tot = -7.84 eV per atom; density of states at the Fermi level = 3.3 states/eV per cell; M_tot = 0.00 μB per formula unit; symmetry = No. 123; ΔH_f (0 K) = 392 meV/atom
1.0
-0.3916 -2.5908 3.9516
3.7318 -0.7618 -0.1297
0.7058 3.0995 2.1020
Re Ca Pt
2 1 1
direct
0.0000 0.0000 0.0000
0.0000 0.5000 0.5000
0.5000 0.5000 0.0000
0.5000 0.0000 0.5000

No. 11
Mg6AlBi, relaxed, DFT GGA-PBE; offset from the most stable computed form = 0.4 kJ per mole of atoms; E_tot = -2.14 eV per atom; density of states at the Fermi level = 4.9 states/eV per cell; M_tot = 0.00 μB per formula unit; symmetry = No. 38; ΔH_f (0 K) = 5 meV/atom
1.0
3.1525 -5.5146 0.0000
3.1525 5.5146 0.0000
0.0000 0.0000 5.3329
Mg Al Bi
6 1 1
direct
0.1640 0.3301 0.0000
0.6699 0.8360 0.0000
0.6666 0.3334 0.0000
0.3339 0.1593 0.5000
0.8407 0.6661 0.5000
0.8336 0.1664 0.5000
0.1549 0.8451 0.0000
0.3362 0.6638 0.5000

No. 12
Sr2Zn4Sn3Bi, relaxed, DFT GGA-PBE; E_tot = -2.76 eV per atom; density of states at the Fermi level = 3.3 states/eV per cell; M_tot = 0.00 μB per formula unit; symmetry = No. 115; ΔH_f (0 K) = -328 meV/atom
1.0
4.8058 0.0000 0.0000
0.0000 4.8058 0.0000
0.0000 0.0000 11.2790
Sr Zn Sn Bi
2 4 3 1
direct
0.5000 0.0000 0.2377
0.0000 0.5000 0.7623
0.5000 0.5000 0.0000
0.0000 0.0000 0.0000
0.5000 0.0000 0.6397
0.0000 0.5000 0.3603
0.0000 0.0000 0.5000
0.5000 0.0000 0.8730
0.0000 0.5000 0.1270
0.5000 0.5000 0.5000